Material: LiMg6In3
Method: DFT, GGA-PBE
State: optimized geometry

Structure (POSCAR):
```
LiMg6In3
1.0
7.867 -0.149 -2.327
-3.075 7.243 -2.327
-0.101 -0.149 8.204
In Mg Li
6 12 2
direct
0.277 0.085 0.391
0.915 0.609 0.723
0.609 0.723 0.915
0.085 0.391 0.277
0.391 0.277 0.085
0.723 0.915 0.609
0.576 0.330 0.787
0.787 0.576 0.330
0.330 0.787 0.576
0.424 0.670 0.213
0.670 0.213 0.424
0.015 0.689 0.129
0.689 0.129 0.015
0.311 0.871 0.985
0.213 0.424 0.670
0.129 0.015 0.689
0.985 0.311 0.871
0.871 0.985 0.311
0.000 0.000 0.000
0.500 0.500 0.500
```

Properties
calculated density: 3.60 g/cm3
crystal system: trigonal
calculated volume: 458.2 Å³ per cell
final energy: -0.0750 Ha/atom
relative energy among the computed polymorphs: 0 meV per atom
formation enthalpy at 0 K: -72.2 meV/atom